(1)
A plane-wave DFT calculation with PBE was carried out for crystalline CaLaPrNd at its relaxed geometry.

Output
Calculated formation energy   2.60 kcal/mol of atoms
Uncorrected energy   -64.10 eV for the cell shown
Calculated density   5.2 g/cm³
Distance to the lowest polymorph of the same formula   32 kJ/mol of formula units

a = 8.4241 Å, b = 8.4241 Å, c = 8.4241 Å
α = 90.00°, β = 90.00°, γ = 90.00°
Closest atoms and distances in Å follow each position.
Space group F-43m (No. 216)
One atom of each set of equivalent atoms:
Ca (0.0000, 0.0000, 0.0000) (multiplicity 4)  4 La 3.65, 4 Pr 3.65
La (0.2500, 0.2500, 0.2500) (multiplicity 4)  4 Nd 3.65, 4 Ca 3.65
Pr (0.2500, 0.2500, 0.7500) (multiplicity 4)  4 Ca 3.65, 4 Nd 3.65
Nd (0.0000, 0.0000, 0.5000) (multiplicity 4)  4 Pr 3.65, 4 La 3.65


(2)
A plane-wave DFT calculation with PBE was carried out for crystalline Hf12ZrIn3 at its relaxed geometry.

Output
Calculated formation energy   0.57 kcal/mol of atoms
Uncorrected energy   -135.81 eV for the cell shown
Calculated density   12.1 g/cm³

a = 5.2094 Å, b = 5.2094 Å, c = 13.0735 Å
α = 90.00°, β = 90.00°, γ = 90.00°
Closest atoms and distances in Å follow each position.
Space group P4/mmm (No. 123)
One atom of each set of equivalent atoms:
Hf (0.0000, 0.0000, 0.0000) (multiplicity 1)  10 Hf 3.06-3.23
Hf (0.0000, 0.0000, 0.2469) (multiplicity 2)  10 Hf 3.06-3.31
Hf (0.0000, 0.0000, 0.5000) (multiplicity 1)  10 Hf 3.09-3.31
Hf (0.0000, 0.5000, 0.1235) (multiplicity 4)  6 Hf 3.06-3.26, 4 In 3.06-3.09
Hf (0.0000, 0.5000, 0.3727) (multiplicity 4)  2 In 3.05, 6 Hf 3.08-3.33, 2 Zr 3.09
Zr (0.5000, 0.5000, 0.5000) (multiplicity 1)  8 Hf 3.09, 2 In 3.25
In (0.5000, 0.5000, 0.0000) (multiplicity 1)  8 Hf 3.06, 2 In 3.28
In (0.5000, 0.5000, 0.2512) (multiplicity 2)  8 Hf 3.05-3.09, 1 Zr 3.25, 1 In 3.28


(3)
A plane-wave DFT calculation with PBE was carried out for crystalline DyNiGe at its relaxed geometry.

Output
Calculated formation energy   -17.01 kcal/mol of atoms
Uncorrected energy   -34.43 eV for the cell shown
Calculated density   8.7 g/cm³

a = 4.1516 Å, b = 4.1516 Å, c = 6.4752 Å
α = 90.00°, β = 90.00°, γ = 90.00°
Closest atoms and distances in Å follow each position.
Space group P4/nmm (No. 129, origin choice 2)
One atom of each set of equivalent atoms:
Dy (0.2500, 0.2500, 0.1915) (multiplicity 2)  4 Ni 2.88, 5 Ge 3.01-3.13
Ni (0.2500, 0.7500, 0.5000) (multiplicity 2)  4 Ge 2.48
Ge (0.2500, 0.2500, 0.7082) (multiplicity 2)  4 Ni 2.48


(4)
A plane-wave DFT calculation with PBE was carried out for crystalline YHgS2 at its relaxed geometry.

Output
Uncorrected energy   -58.47 eV for the cell shown
Calculated density   5.9 g/cm³
Uncorrected formation energy   -1117 meV/atom

a = 4.0323 Å, b = 4.0323 Å, c = 21.0932 Å
α = 90.00°, β = 90.00°, γ = 120.00°
Closest atoms and distances in Å follow each position.
Space group R3m (No. 160, hexagonal axes)
One atom of each set of equivalent atoms:
Y (0.0000, 0.0000, 0.0000) (multiplicity 3)  6 S 2.73-2.77
Hg (0.0000, 0.0000, 0.8336) (multiplicity 3)  6 S 3.08-3.12
S (0.0000, 0.0000, 0.4049) (multiplicity 3)  3 Y 2.77, 3 Hg 3.08
S (0.0000, 0.0000, 0.5989) (multiplicity 3)  3 Y 2.73


(5)
A plane-wave DFT calculation with PBE was carried out for crystalline CuAs2Cl at its relaxed geometry.

Output
Uncorrected energy   -45.73 eV for the cell shown
Calculated density   5.0 g/cm³
Uncorrected formation energy   -1 meV/atom
Distance to the lowest polymorph of the same formula   66 kJ/mol of formula units

a = 3.9071 Å, b = 3.9071 Å, c = 18.8070 Å
α = 90.00°, β = 90.00°, γ = 120.00°
Closest atoms and distances in Å follow each position.
Space group R-3m (No. 166, hexagonal axes)
One atom of each set of equivalent atoms:
Cu (0.0000, 0.0000, 0.0000) (multiplicity 3)  6 As 2.46
As (0.0000, 0.0000, 0.2815) (multiplicity 6)  3 Cu 2.46
Cl (0.0000, 0.0000, 0.5000) (multiplicity 3)  6 As 3.12


(6)
A plane-wave DFT calculation with PBE was carried out for crystalline MgBi2Sb at its relaxed geometry.

Output
Uncorrected energy   -13.28 eV for the cell shown
Calculated density   8.1 g/cm³
Uncorrected formation energy   50 meV/atom
Distance to the lowest polymorph of the same formula   0 kJ/mol of formula units

a = 4.8751 Å, b = 4.8751 Å, c = 4.8616 Å
α = 90.00°, β = 90.00°, γ = 90.00°
Closest atoms and distances in Å follow each position.
Space group P4/mmm (No. 123)
One atom of each set of equivalent atoms:
Mg (0.0000, 0.0000, 0.0000) (multiplicity 1)  8 Bi 3.44, 4 Sb 3.45
Bi (0.0000, 0.5000, 0.5000) (multiplicity 2)  4 Sb 3.44, 4 Mg 3.44, 4 Bi 3.45
Sb (0.5000, 0.5000, 0.0000) (multiplicity 1)  8 Bi 3.44, 4 Mg 3.45


(7)
A plane-wave DFT calculation with PBE was carried out for crystalline Cs2PtSeBr6 at its relaxed geometry.

Output
Uncorrected energy   -58.76 eV for the cell shown
Calculated density   5.2 g/cm³
Uncorrected formation energy   -811 meV/atom

a = 7.7924 Å, b = 7.7924 Å, c = 10.7941 Å
α = 90.00°, β = 90.00°, γ = 90.00°
Closest atoms and distances in Å follow each position.
Space group I4/mmm (No. 139)
One atom of each set of equivalent atoms:
Cs (0.0000, 0.5000, 0.2500) (multiplicity 4)  12 Br 3.86-3.90
Pt (0.0000, 0.0000, 0.0000) (multiplicity 2)  6 Br 2.58-2.62
Se (0.0000, 0.0000, 0.5000) (multiplicity 2)  6 Br 2.78-2.93
Br (0.0000, 0.0000, 0.2428) (multiplicity 4)  1 Pt 2.62, 1 Se 2.78
Br (0.2345, 0.2345, 0.0000) (multiplicity 8)  1 Pt 2.58


(8)
A plane-wave DFT calculation with PBE was carried out for crystalline Cs2CeAuI6 at its relaxed geometry.

Output
Uncorrected energy   -31.75 eV for the cell shown
Calculated density   4.5 g/cm³
Uncorrected formation energy   -1153 meV/atom

a = 8.4277 Å, b = 8.7529 Å, c = 8.7866 Å
α = 102.86°, β = 112.42°, γ = 112.60°
Closest atoms and distances in Å follow each position.
Space group P-1 (No. 2)
One atom of each set of equivalent atoms:
Cs (0.0003, 0.2483, 0.2515) (multiplicity 2)  8 I 4.01-4.43
Ce (0.5000, 0.5000, 0.0000) (multiplicity 1)  6 I 3.08-3.26
Au (0.5000, 0.0000, 0.5000) (multiplicity 1)  2 I 2.62
I (0.0443, 0.3347, 0.8360) (multiplicity 2)  1 Ce 3.08
I (0.3377, 0.1419, 0.6410) (multiplicity 2)  1 Au 2.62
I (0.4983, 0.2700, 0.2261) (multiplicity 2)  1 Ce 3.13


(9)
A plane-wave DFT calculation with PBE was carried out for crystalline CePu2Zn2Ge2 at its relaxed geometry.

Output
Calculated formation energy   -4.55 kcal/mol of atoms
Uncorrected energy   -143.29 eV for the cell shown
Calculated density   11.3 g/cm³

a = 4.0798 Å, b = 4.0798 Å, c = 27.6707 Å
α = 90.00°, β = 90.00°, γ = 120.00°
Closest atoms and distances in Å follow each position.
Space group R-3m (No. 166, hexagonal axes)
One atom of each set of equivalent atoms:
Ce (0.0000, 0.0000, 0.0000) (multiplicity 3)  6 Ge 3.09, 6 Zn 3.26
Pu (0.0000, 0.0000, 0.1522) (multiplicity 6)  3 Pu 2.49
Zn (0.0000, 0.0000, 0.4147) (multiplicity 6)  3 Ge 2.37
Ge (0.0000, 0.0000, 0.2612) (multiplicity 6)  3 Zn 2.37


(10)
A plane-wave DFT calculation with PBE was carried out for crystalline KLiCo2 at its relaxed geometry.

Output
Calculated formation energy   20.52 kcal/mol of atoms
Uncorrected energy   -27.33 eV for the cell shown
Calculated density   4.2 g/cm³
Distance to the lowest polymorph of the same formula   159 kJ/mol of formula units

a = 5.1628 Å, b = 10.2263 Å, c = 2.6613 Å
α = 90.00°, β = 112.98°, γ = 90.00°
Closest atoms and distances in Å follow each position.
Space group C2/m (No. 12)
One atom of each set of equivalent atoms:
K (0.0000, 0.0000, 0.0000) (multiplicity 2)  2 Li 2.58, 2 K 2.66
Li (0.0000, 0.5000, 0.0000) (multiplicity 2)  2 K 2.58, 2 Li 2.66
Co (0.2500, 0.2500, 0.5000) (multiplicity 4)  4 Co 2.58-2.66


(11)
A plane-wave DFT calculation with PBE was carried out for crystalline Ac4Hg2Os at its relaxed geometry.

Output
Calculated formation energy   -3.67 kcal/mol of atoms
Uncorrected energy   -58.76 eV for the cell shown
Calculated density   9.2 g/cm³
Distance to the lowest polymorph of the same formula   88 kJ/mol of formula units

a = 5.7473 Å, b = 5.7473 Å, c = 16.3322 Å
α = 90.00°, β = 90.00°, γ = 90.00°
Closest atoms and distances in Å follow each position.
Space group I4/mmm (No. 139)
One atom of each set of equivalent atoms:
Ac (0.0000, 0.0000, 0.1809) (multiplicity 4)  1 Os 2.95, 1 Hg 3.26
Ac (0.0000, 0.5000, 0.0000) (multiplicity 4)  2 Os 2.87
Hg (0.0000, 0.0000, 0.3803) (multiplicity 4)  5 Ac 3.26-3.48
Os (0.0000, 0.0000, 0.0000) (multiplicity 2)  6 Ac 2.87-2.95


(12)
A plane-wave DFT calculation with PBE was carried out for crystalline ZnMo5 at its relaxed geometry.

Output
Calculated formation energy   14.21 kcal/mol of atoms
Uncorrected energy   -51.73 eV for the cell shown
Calculated density   8.5 g/cm³
Distance to the lowest polymorph of the same formula   290 kJ/mol of formula units

a = 5.2462 Å, b = 5.2462 Å, c = 4.4760 Å
α = 90.00°, β = 90.00°, γ = 120.00°
Closest atoms and distances in Å follow each position.
Space group P6/mmm (No. 191)
One atom of each set of equivalent atoms:
Zn (0.0000, 0.0000, 0.0000) (multiplicity 1)  6 Mo 3.03
Mo (0.0000, 0.5000, 0.5000) (multiplicity 3)  8 Mo 2.62-2.70
Mo (0.3333, 0.6667, 0.0000) (multiplicity 2)  6 Mo 2.70


(13)
A plane-wave DFT calculation with PBE was carried out for crystalline K2PmSeO6 at its relaxed geometry.

Output
Uncorrected energy   -55.10 eV for the cell shown
Calculated density   3.3 g/cm³
Uncorrected formation energy   -1492 meV/atom

a = 6.2987 Å, b = 6.2987 Å, c = 5.9176 Å
α = 90.00°, β = 90.00°, γ = 120.00°
Closest atoms and distances in Å follow each position.
Space group P-3m1 (No. 164)
One atom of each set of equivalent atoms:
K (0.3333, 0.6667, 0.0864) (multiplicity 2)  3 O 2.69
Pm (0.0000, 0.0000, 0.5000) (multiplicity 1)  6 O 2.38
Se (0.0000, 0.0000, 0.0000) (multiplicity 1)  6 O 1.84
O (0.1352, 0.2705, 0.8151) (multiplicity 6)  1 Se 1.84


(14)
A plane-wave DFT calculation with PBE was carried out for crystalline Ho3PbSe at its relaxed geometry.

Output
Uncorrected energy   -50.48 eV for the cell shown
Calculated density   9.0 g/cm³
Uncorrected formation energy   -862 meV/atom

a = 8.0573 Å, b = 4.2423 Å, c = 8.5495 Å
α = 90.00°, β = 99.28°, γ = 90.00°
Closest atoms and distances in Å follow each position.
Space group P2_1/m (No. 11)
One atom of each set of equivalent atoms:
Ho (0.0734, 0.2500, 0.3142) (multiplicity 2)  3 Se 2.82-2.85, 2 Pb 3.14
Ho (0.3243, 0.2500, 0.9658) (multiplicity 2)  1 Se 2.85, 2 Pb 3.15
Ho (0.3900, 0.7500, 0.6298) (multiplicity 2)  2 Se 2.87, 2 Pb 3.13
Pb (0.3370, 0.7500, 0.2400) (multiplicity 2)  8 Ho 3.13-3.48
Se (0.1535, 0.2500, 0.6472) (multiplicity 2)  6 Ho 2.82-2.87


(15)
A plane-wave DFT calculation with PBE was carried out for crystalline NaMgCdHg at its relaxed geometry.

Output
Calculated formation energy   -3.63 kcal/mol of atoms
Uncorrected energy   -4.76 eV for the cell shown
Calculated density   6.3 g/cm³
Distance to the lowest polymorph of the same formula   0 kJ/mol of formula units

a = 3.4053 Å, b = 3.4053 Å, c = 8.1385 Å
α = 90.00°, β = 90.00°, γ = 90.00°
Closest atoms and distances in Å follow each position.
Space group P4mm (No. 99)
One atom of each set of equivalent atoms:
Na (0.0000, 0.0000, 0.0000) (multiplicity 1)  4 Hg 3.23, 4 Cd 3.31, 4 Na 3.41
Mg (0.0000, 0.0000, 0.5125) (multiplicity 1)  4 Hg 3.02, 4 Cd 3.06
Cd (0.5000, 0.5000, 0.2795) (multiplicity 1)  4 Mg 3.06, 4 Na 3.31, 4 Cd 3.41
Hg (0.5000, 0.5000, 0.7360) (multiplicity 1)  4 Mg 3.02, 4 Na 3.23


(16)
A plane-wave DFT calculation with PBE was carried out for crystalline Pm2ErGe at its relaxed geometry.

Output
Calculated formation energy   -7.61 kcal/mol of atoms
Uncorrected energy   -20.00 eV for the cell shown
Calculated density   8.3 g/cm³
Distance to the lowest polymorph of the same formula   0 kJ/mol of formula units

a = 4.7128 Å, b = 4.7128 Å, c = 4.7786 Å
α = 90.00°, β = 90.00°, γ = 90.00°
Closest atoms and distances in Å follow each position.
Space group P4/mmm (No. 123)
One atom of each set of equivalent atoms:
Pm (0.0000, 0.5000, 0.0000) (multiplicity 2)  4 Pm 3.33, 4 Ge 3.36, 4 Er 3.36
Er (0.0000, 0.0000, 0.5000) (multiplicity 1)  4 Ge 3.33, 8 Pm 3.36
Ge (0.5000, 0.5000, 0.5000) (multiplicity 1)  4 Er 3.33, 8 Pm 3.36


(17)
A plane-wave DFT calculation with PBE was carried out for crystalline Pm2Pb at its relaxed geometry.

Output
Calculated formation energy   -7.79 kcal/mol of atoms
Uncorrected energy   -28.44 eV for the cell shown
Calculated density   9.1 g/cm³
Distance to the lowest polymorph of the same formula   34 kJ/mol of formula units

a = 4.2291 Å, b = 4.2291 Å, c = 10.1186 Å
α = 90.00°, β = 90.00°, γ = 90.00°
Closest atoms and distances in Å follow each position.
Space group I4/mmm (No. 139)
One atom of each set of equivalent atoms:
Pm (0.0000, 0.0000, 0.1572) (multiplicity 4)  5 Pm 3.18-3.53, 5 Pb 3.39-3.47
Pb (0.0000, 0.0000, 0.5000) (multiplicity 2)  10 Pm 3.39-3.47


(18)
A plane-wave DFT calculation with PBE was carried out for crystalline TlRe2Os at its relaxed geometry.

Output
Calculated formation energy   28.67 kcal/mol of atoms
Uncorrected energy   -134.08 eV for the cell shown
Calculated density   16.8 g/cm³
Distance to the lowest polymorph of the same formula   254 kJ/mol of formula units

a = 7.5641 Å, b = 7.5641 Å, c = 5.3026 Å
α = 90.00°, β = 90.00°, γ = 90.00°
Closest atoms and distances in Å follow each position.
Space group I-42d (No. 122)
One atom of each set of equivalent atoms:
Tl (0.0000, 0.0000, 0.0000) (multiplicity 4)  2 Os 2.65
Re (0.1936, 0.2500, 0.6250) (multiplicity 8)  2 Os 2.48
Os (0.0000, 0.0000, 0.5000) (multiplicity 4)  4 Re 2.48, 2 Tl 2.65


(19)
A plane-wave DFT calculation with PBE was carried out for crystalline RbSBr6 at its relaxed geometry.

Output
Uncorrected energy   -18.00 eV for the cell shown
Calculated density   3.2 g/cm³
Uncorrected formation energy   -359 meV/atom

a = 5.4757 Å, b = 7.5296 Å, c = 8.2068 Å
α = 100.71°, β = 90.15°, γ = 110.21°
Closest atoms and distances in Å follow each position.
Space group P-1 (No. 2)
One atom of each set of equivalent atoms:
Rb (0.0000, 0.0000, 0.0000) (multiplicity 1)  10 Br 3.61-4.04
S (0.5000, 0.0000, 0.5000) (multiplicity 1)  4 Br 2.45-2.47
Br (0.1002, 0.7627, 0.3408) (multiplicity 2)  1 S 2.47
Br (0.3870, 0.5760, 0.1027) (multiplicity 2)  1 Br 2.44
Br (0.4099, 0.8170, 0.7248) (multiplicity 2)  1 S 2.45


(20)
A plane-wave DFT calculation with PBE was carried out for crystalline Pm2ZrTl3Se6 at its relaxed geometry.

Output
Uncorrected energy   -121.29 eV for the cell shown
Calculated density   7.0 g/cm³
Uncorrected formation energy   -1216 meV/atom

a = 7.1766 Å, b = 12.4166 Å, c = 8.1999 Å
α = 90.00°, β = 106.96°, γ = 90.00°
Closest atoms and distances in Å follow each position.
Space group C2/m (No. 12)
One atom of each set of equivalent atoms:
Pm (0.0000, 0.1659, 0.0000) (multiplicity 4)  6 Se 2.95-2.97
Zr (0.0000, 0.5000, 0.0000) (multiplicity 2)  6 Se 2.77-2.80
Tl (0.0000, 0.0000, 0.5000) (multiplicity 2)  6 Se 3.27-3.40
Tl (0.0000, 0.3276, 0.5000) (multiplicity 4)  6 Se 3.27-3.38
Se (0.2252, 0.3433, 0.2066) (multiplicity 8)  1 Zr 2.77, 2 Pm 2.95-2.96
Se (0.2423, 0.5000, 0.7877) (multiplicity 4)  1 Zr 2.80, 2 Pm 2.97